CsTl11Pb (GGA-PBE, optimized geometry); space-group type = C2/m; crystal system = monoclinic; energy relative to the elements = -0.02 eV/atom; M_tot = 0.00 μB per atom
1.0
3.302 -8.113 0.000
3.302 8.113 0.000
-3.290 0.000 8.204
Cs Tl Pb
1 11 1
Cartesian
0.000 0.000 0.000 Cs
-1.645 0.000 4.102 Tl
1.651 4.056 0.000 Tl
0.057 2.918 2.951 Tl
-0.011 1.756 6.414 Tl
0.057 -2.918 2.951 Tl
-0.011 -1.756 6.414 Tl
1.651 -4.056 0.000 Tl
3.326 1.756 1.790 Tl
3.258 2.918 5.253 Tl
3.326 -1.756 1.790 Tl
3.258 -2.918 5.253 Tl
1.657 0.000 4.102 Pb

***

Tb5Pr2Dy12 (GGA-PBE, optimized geometry); space-group type = P-1; crystal system = triclinic; relative energy among the computed polymorphs = 0 meV per atom; energy relative to the elements = 0.05 eV/atom; M_tot = 0.00 μB per atom
1.0
6.119 0.000 0.000
-0.918 8.812 0.000
-2.683 -0.572 11.367
Tb Pr Dy
5 2 12
Cartesian
0.000 0.000 0.000 Tb
-1.172 7.141 5.969 Tb
2.020 6.064 0.560 Tb
0.498 2.177 10.807 Tb
3.690 1.099 5.398 Tb
-0.253 3.928 4.782 Pr
2.771 4.312 6.585 Pr
-1.170 6.382 2.403 Dy
-0.057 3.245 1.252 Dy
0.618 0.723 3.587 Dy
-1.038 7.847 9.436 Dy
-0.366 4.637 8.366 Dy
0.652 1.480 7.199 Dy
1.866 6.761 4.168 Dy
2.884 3.604 3.001 Dy
3.556 0.393 1.931 Dy
1.900 7.518 7.780 Dy
2.575 4.995 10.115 Dy
3.688 1.859 8.964 Dy

***

TbHoZn (GGA-PBE, optimized geometry); space-group type = I4mm; crystal system = tetragonal; relative energy among the computed polymorphs = 0 meV per atom; energy relative to the elements = -0.21 eV/atom; M_tot = 0.00 μB per atom
1.0
3.574 0.000 0.000
0.000 3.574 0.000
0.000 0.000 12.143
Tb Ho Zn
2 2 2
Cartesian
0.000 0.000 0.000 Tb
1.787 1.787 6.072 Tb
0.000 0.000 3.503 Ho
1.787 1.787 9.574 Ho
0.000 0.000 7.857 Zn
1.787 1.787 1.785 Zn

***

Ba2MgAgPd (GGA-PBE, optimized geometry); space-group type = P4/mmm; crystal system = tetragonal; energy relative to the elements = -0.23 eV/atom; M_tot = 0.00 μB per atom
1.0
6.129 0.000 0.000
0.000 6.129 0.000
0.000 0.000 5.081
Ba Mg Ag Pd
2 1 1 1
Cartesian
0.000 3.064 0.000 Ba
3.064 0.000 0.000 Ba
0.000 0.000 2.540 Mg
3.064 3.064 2.540 Ag
0.000 0.000 0.000 Pd

***

TeBr (GGA-PBE, optimized geometry); space-group type = R-3m; crystal system = trigonal; energy relative to the elements, uncorrected = 0.298 eV per atom; M_tot = 0.00 μB per atom
1.0
3.512 0.000 0.000
-1.756 3.042 0.000
0.000 0.000 15.145
Te Br
3 3
Cartesian
0.000 0.000 0.000 Te
0.000 2.028 10.097 Te
1.756 1.014 5.048 Te
0.000 0.000 7.572 Br
0.000 2.028 2.524 Br
1.756 1.014 12.621 Br

***

HfRuNO2 (GGA-PBE, optimized geometry); space-group type = P4/mmm; crystal system = tetragonal; energy relative to the elements, uncorrected = -0.590 eV per atom; M_tot = 0.93 μB per atom
1.0
4.027 0.000 0.000
0.000 4.027 0.000
0.000 0.000 4.289
Hf Ru N O
1 1 1 2
Cartesian
0.000 0.000 0.000 Hf
2.014 2.014 2.144 Ru
0.000 0.000 2.144 N
0.000 2.014 0.000 O
2.014 0.000 0.000 O

***

Al3SiOs (GGA-PBE, optimized geometry); space-group type = Pm-3m; crystal system = cubic; relative energy among the computed polymorphs = 756 meV per atom; energy relative to the elements, uncorrected = 1.211 eV per atom; M_tot = 0.00 μB per atom
1.0
4.545 0.000 0.000
0.000 4.545 0.000
0.000 0.000 4.545
Al Si Os
3 1 1
Cartesian
0.000 0.000 2.272 Al
0.000 2.272 0.000 Al
2.272 0.000 0.000 Al
0.000 0.000 0.000 Si
2.272 2.272 2.272 Os

***

BPbI3 (GGA-PBE, optimized geometry); space-group type = Pm-3m; crystal system = cubic; relative energy among the computed polymorphs = 379 meV per atom; energy relative to the elements, uncorrected = 0.824 eV per atom; M_tot = 0.01 μB per atom
1.0
6.264 0.000 0.000
0.000 6.264 0.000
0.000 0.000 6.264
B Pb I
1 1 3
Cartesian
0.000 0.000 0.000 B
3.132 3.132 3.132 Pb
0.000 3.132 3.132 I
3.132 0.000 3.132 I
3.132 3.132 0.000 I

***

MgScIn2 (GGA-PBE, optimized geometry); space-group type = Immm; crystal system = orthorhombic; energy relative to the elements = 0.17 eV/atom; M_tot = 0.00 μB per atom
1.0
3.280 0.000 0.000
0.000 5.516 0.000
0.000 0.000 11.857
Mg Sc In
2 2 4
Cartesian
0.000 0.000 0.000 Mg
1.640 2.758 5.929 Mg
0.000 0.000 5.929 Sc
1.640 2.758 0.000 Sc
0.000 0.000 2.888 In
0.000 0.000 8.969 In
1.640 2.758 3.041 In
1.640 2.758 8.816 In

***

NaHg5S6 (GGA-PBE, optimized geometry); space-group type = P-1; crystal system = triclinic; energy relative to the elements, uncorrected = -0.165 eV per atom; M_tot = 0.08 μB per atom
1.0
7.153 0.000 0.000
-0.080 7.300 0.000
-2.383 -3.538 5.991
Na Hg S
1 5 6
Cartesian
0.000 0.000 0.000 Na
-1.473 -0.093 4.031 Hg
1.236 2.082 4.965 Hg
2.385 -1.769 2.995 Hg
3.454 1.680 1.026 Hg
6.163 3.855 1.959 Hg
1.022 4.796 1.059 S
0.474 0.906 3.024 S
0.089 -2.631 4.993 S
4.600 6.393 0.998 S
4.215 2.856 2.967 S
3.668 -1.034 4.931 S

***

UCoSi (GGA-PBE, optimized geometry); space-group type = P-6m2; crystal system = hexagonal; energy relative to the elements, uncorrected = -0.440 eV per atom; M_tot = 0.22 μB per atom
1.0
4.100 0.000 0.000
-2.050 3.551 0.000
0.000 0.000 3.350
U Co Si
1 1 1
Cartesian
0.000 0.000 0.000 U
0.000 2.367 1.675 Co
2.050 1.184 1.675 Si

***

Tb5SnPd2 (GGA-PBE, optimized geometry); space-group type = I4/mcm; crystal system = tetragonal; energy relative to the elements = -0.68 eV/atom; M_tot = 0.00 μB per atom
1.0
-3.938 3.938 6.749
3.938 -3.938 6.749
3.938 3.938 -6.749
Tb Sn Pd
10 2 4
Cartesian
0.000 0.000 0.000 Tb
5.183 1.244 -1.915 Tb
1.244 2.694 -1.915 Tb
5.183 1.244 1.915 Tb
1.244 2.694 1.915 Tb
0.000 0.000 6.749 Tb
2.694 1.244 4.834 Tb
-1.244 2.694 4.834 Tb
2.694 1.244 8.663 Tb
-1.244 2.694 8.663 Tb
0.000 0.000 3.374 Sn
0.000 0.000 10.123 Sn
2.884 1.054 0.000 Pd
2.884 -1.054 6.749 Pd
1.054 4.993 0.000 Pd
1.054 2.884 6.749 Pd